A:
In4Sn2Hg3, optimized geometry, DFT PBE-GGA; size of the total moment = 0.0 μB per formula unit; SG = C2/m, No. 12
1.0
-3.1904 -0.5309 -2.9423
0.0151 -5.9739 4.3102
-3.7863 9.7847 2.3400
In Hg Sn
4 3 2
direct
0.1217 0.2434 0.4979
0.6901 0.3803 0.0650
0.3099 0.6197 0.9350
0.8783 0.7566 0.5021
0.0000 0.0000 0.0000
0.3977 0.7954 0.7252
0.6023 0.2046 0.2748
0.6090 0.2179 0.7074
0.3910 0.7821 0.2926



B:
In4Sn2Hg3, optimized geometry, DFT PBE-GGA; size of the total moment = 0.0 μB per formula unit; SG = P3m1, No. 156
1.0
3.3817 0.0000 0.0000
-1.6909 2.9287 0.0000
0.0000 0.0000 24.4804
Sn Hg In
2 3 4
direct
0.6667 0.3333 0.8747
0.6667 0.3333 0.0904
0.0000 0.0000 0.3232
0.6667 0.3333 0.6530
0.0000 0.0000 0.9824
0.6667 0.3333 0.4301
0.6667 0.3333 0.2178
0.0000 0.0000 0.7613
0.0000 0.0000 0.5442



The structure with the most favorable energy is B; the runner-up is 1.4 kJ/mol of atoms above it.



A:
In6Sn2Hg, optimized geometry, DFT PBE-GGA; size of the total moment = 0.0 μB per formula unit; SG = C2/m, No. 12
1.0
5.4265 0.0000 0.0000
-2.7132 4.6109 -0.1150
0.0000 -0.2698 9.7835
In Hg Sn
6 1 2
direct
0.6676 0.3351 0.9382
0.0020 0.0041 0.8279
0.9980 0.9959 0.1721
0.3332 0.6664 0.3971
0.3324 0.6649 0.0618
0.6668 0.3336 0.6029
0.0000 0.0000 0.5000
0.3344 0.6688 0.7269
0.6656 0.3312 0.2731



B:
In6Sn2Hg, optimized geometry, DFT PBE-GGA; size of the total moment = 0.0 μB per formula unit; SG = C2/m, No. 12
1.0
-1.2083 0.8693 -5.1565
5.4511 -4.6330 -2.0489
-1.4181 -7.2519 -0.8808
Sn In Hg
2 6 1
direct
0.8086 0.6670 0.6670
0.1914 0.3330 0.3330
0.6963 0.1887 0.6244
0.6947 0.1877 0.1877
0.3037 0.8113 0.3756
0.3053 0.8123 0.8123
0.3037 0.3756 0.8113
0.6963 0.6244 0.1887
0.0000 0.0000 0.0000



The structure with the most favorable energy is A; the runner-up is 7.3 kJ/mol of atoms above it.